A geometry-optimized AcV4Cu3O12 structure, computed with GGA+U. Values from VASP.

Results
- M_tot: 1.92 μB/cell
- SG: No. 204
- Density of states at the Fermi level: 9.31 states/eV per cell
- Theoretical density: 6.392 g cm⁻³
- Raw total energy: -7.001 eV per atom

Structure (Quantum ESPRESSO input):
```
&SYSTEM
  ibrav = 0, nat = 20, ntyp = 4
/
ATOMIC_SPECIES
Ac 227.00 Ac.upf
V 50.94 V.upf
Cu 63.55 Cu.upf
O 16.00 O.upf
CELL_PARAMETERS angstrom
-3.752 3.752 3.752
3.752 -3.752 3.752
3.752 3.752 -3.752
ATOMIC_POSITIONS crystal
Ac 0.000 0.000 0.000
V 0.000 0.000 0.500
V 0.000 0.500 0.000
V 0.500 0.000 0.000
V 0.500 0.500 0.500
Cu 0.000 0.500 0.500
Cu 0.500 0.000 0.500
Cu 0.500 0.500 0.000
O 0.119 0.303 0.816
O 0.184 0.488 0.303
O 0.184 0.881 0.697
O 0.303 0.184 0.488
O 0.303 0.816 0.119
O 0.488 0.303 0.184
O 0.512 0.697 0.816
O 0.697 0.184 0.881
O 0.697 0.816 0.512
O 0.816 0.119 0.303
O 0.816 0.512 0.697
O 0.881 0.697 0.184
```